1.
{"formula": "HfMnIn2Pb", "functional": "PBE", "state": "optimized geometry", "lattice_angstrom": [[5.125, 0.000, 0.000], [0.000, 5.125, 0.000], [0.000, 0.000, 4.703]], "species": ["Hf", "Mn", "In", "In", "Pb"], "fractional_positions": [[0.000, 0.000, 0.000], [0.000, 0.000, 0.500], [0.000, 0.500, 0.500], [0.500, 0.000, 0.500], [0.500, 0.500, 0.000]], "e_form_ev_per_atom": 0.32, "magnetic_moment_mub_per_fu": 1.373}

=====

2.
{"formula": "HfMnInPd", "functional": "PBE", "state": "optimized geometry", "lattice_angstrom": [[0.000, 3.222, 3.222], [3.222, 0.000, 3.222], [3.222, 3.222, 0.000]], "species": ["Hf", "Mn", "In", "Pd"], "fractional_positions": [[0.000, 0.000, 0.000], [0.750, 0.750, 0.750], [0.500, 0.500, 0.500], [0.250, 0.250, 0.250]], "e_form_ev_per_atom": -0.20, "magnetic_moment_mub_per_fu": 0.001}

=====

3.
{"formula": "Hf2MnInPd", "functional": "PBE", "state": "optimized geometry", "lattice_angstrom": [[5.011, 0.000, 0.000], [0.000, 5.011, 0.000], [0.000, 0.000, 4.992]], "species": ["Hf", "Hf", "Mn", "In", "Pd"], "fractional_positions": [[0.000, 0.500, 0.000], [0.500, 0.000, 0.000], [0.000, 0.000, 0.500], [0.500, 0.500, 0.500], [0.500, 0.500, 0.000]], "e_form_ev_per_atom": 0.64, "magnetic_moment_mub_per_fu": 4.123}

=====

4.
{"formula": "HfMn2InSb", "functional": "PBE", "state": "optimized geometry", "lattice_angstrom": [[4.854, 0.000, 0.000], [0.000, 4.854, 0.000], [0.000, 0.000, 5.489]], "species": ["Hf", "Mn", "Mn", "In", "Sb"], "fractional_positions": [[0.000, 0.000, 0.000], [0.000, 0.500, 0.500], [0.500, 0.000, 0.500], [0.500, 0.500, 0.500], [0.500, 0.500, 0.000]], "magnetic_moment_mub_per_fu": 6.277, "raw_formation_energy_ev_per_atom": 1.25}

=====

5.
{"formula": "HfMn2InTc", "functional": "PBE", "state": "optimized geometry", "lattice_angstrom": [[4.555, 0.000, 0.000], [0.000, 4.555, 0.000], [0.000, 0.000, 5.153]], "species": ["Hf", "Mn", "Mn", "In", "Tc"], "fractional_positions": [[0.000, 0.000, 0.000], [0.000, 0.500, 0.500], [0.500, 0.000, 0.500], [0.000, 0.000, 0.500], [0.500, 0.500, 0.000]], "e_form_ev_per_atom": 2.22, "magnetic_moment_mub_per_fu": 1.568}

=====

6.
{"formula": "HfMnIn2Tc", "functional": "PBE", "state": "optimized geometry", "lattice_angstrom": [[5.450, 0.000, 0.000], [0.000, 5.450, 0.000], [0.000, 0.000, 4.580]], "species": ["Hf", "Mn", "In", "In", "Tc"], "fractional_positions": [[0.000, 0.000, 0.000], [0.000, 0.000, 0.500], [0.000, 0.500, 0.000], [0.500, 0.000, 0.000], [0.500, 0.500, 0.500]], "e_form_ev_per_atom": 1.59, "magnetic_moment_mub_per_fu": 5.926}

=====

7.
{"formula": "HfMnInTc", "functional": "PBE", "state": "optimized geometry", "lattice_angstrom": [[0.000, 3.250, 3.250], [3.250, 0.000, 3.250], [3.250, 3.250, 0.000]], "species": ["Hf", "Mn", "In", "Tc"], "fractional_positions": [[0.000, 0.000, 0.000], [0.250, 0.250, 0.250], [0.500, 0.500, 0.500], [0.750, 0.750, 0.750]], "e_form_ev_per_atom": -0.06, "magnetic_moment_mub_per_fu": 2.971}

=====

8.
{"formula": "HfMnInTc2", "functional": "PBE", "state": "optimized geometry", "lattice_angstrom": [[4.815, 0.000, 0.000], [0.000, 4.815, 0.000], [0.000, 0.000, 5.074]], "species": ["Hf", "Mn", "In", "Tc", "Tc"], "fractional_positions": [[0.000, 0.000, 0.000], [0.500, 0.500, 0.000], [0.000, 0.000, 0.500], [0.000, 0.500, 0.500], [0.500, 0.000, 0.500]], "e_form_ev_per_atom": 2.44, "magnetic_moment_mub_per_fu": 1.947}

=====

9.
{"formula": "HfMn2InTe", "functional": "PBE", "state": "optimized geometry", "lattice_angstrom": [[4.899, 0.000, 0.000], [0.000, 4.899, 0.000], [0.000, 0.000, 5.595]], "species": ["Hf", "Mn", "Mn", "In", "Te"], "fractional_positions": [[0.000, 0.000, 0.000], [0.000, 0.500, 0.000], [0.500, 0.000, 0.000], [0.000, 0.000, 0.500], [0.500, 0.500, 0.500]], "magnetic_moment_mub_per_fu": 5.901, "raw_formation_energy_ev_per_atom": 1.06}

=====

10.
{"formula": "HfTiMnIn", "functional": "PBE", "state": "optimized geometry", "lattice_angstrom": [[3.113, 0.000, 0.000], [0.000, 3.113, 0.000], [0.000, 0.000, 7.222]], "species": ["Hf", "Ti", "Mn", "In"], "fractional_positions": [[0.000, 0.000, 0.000], [0.000, 0.000, 0.593], [0.500, 0.500, 0.772], [0.500, 0.500, 0.314]], "e_form_ev_per_atom": -0.20, "magnetic_moment_mub_per_fu": 0.000}

=====

11.
{"formula": "HfMnZnIn2", "functional": "PBE", "state": "optimized geometry", "lattice_angstrom": [[5.038, 0.000, 0.000], [0.000, 5.038, 0.000], [0.000, 0.000, 4.731]], "species": ["Hf", "Mn", "Zn", "In", "In"], "fractional_positions": [[0.000, 0.000, 0.000], [0.500, 0.500, 0.000], [0.500, 0.500, 0.500], [0.000, 0.500, 0.500], [0.500, 0.000, 0.500]], "e_form_ev_per_atom": 0.73, "magnetic_moment_mub_per_fu": 3.232}

=====

12.
{"formula": "HfMn2ZnIn", "functional": "PBE", "state": "optimized geometry", "lattice_angstrom": [[4.792, 0.000, 0.000], [0.000, 4.792, 0.000], [0.000, 0.000, 5.579]], "species": ["Hf", "Mn", "Mn", "Zn", "In"], "fractional_positions": [[0.000, 0.000, 0.000], [0.000, 0.500, 0.000], [0.500, 0.000, 0.000], [0.500, 0.500, 0.500], [0.000, 0.000, 0.500]], "e_form_ev_per_atom": 1.24, "magnetic_moment_mub_per_fu": 5.806}